Material: NiH2
Method: DFT, PBE
State: optimized geometry

- E: -10.07 eV per formula unit
- Crystal system: cubic
- V: 137.9 Å³/cell
- Magnetization: 0.087 μB per cell

abc: 5.1661 5.1661 5.1661
angles: 90.00 90.00 90.00
Space group Fd-3m (No. 227, origin choice 2)
One atom of each set of equivalent atoms:
Ni: 0.1250 0.1250 0.1250 [8 per cell]
H: 0.0000 0.0000 0.5000 [16 per cell]